A plane-wave DFT calculation with PBE was carried out for crystalline InSiPb at its relaxed geometry.

```
InSiPb
1.0
0.000 3.480 3.480
3.480 0.000 3.480
3.480 3.480 0.000
In Si Pb
1 1 1
direct
0.000 0.000 0.000
0.750 0.750 0.750
0.500 0.500 0.500
```

Results
Fermi-level density of states in states/eV/atom: 1.233
Formation energy (no corrections) in eV/f.u.: 1.0
E above lowest polymorph in eV per atom: 0.053
Raw total energy in eV per cell: -10.86